Compound: Be3CdPd
Source: the Alexandria database
Functional: PBE
Structure: optimized geometry

It has space group Pm-3m (No. 221), with a = 4.3279 Å, b = 4.3279 Å, c = 4.3279 Å, α = 90.00°, β = 90.00° and γ = 90.00°. The inequivalent atoms are Be at (0.0000, 0.0000, 0.5000), Cd at (0.0000, 0.0000, 0.0000) and Pd at (0.5000, 0.5000, 0.5000).

The density is 5.04 g/cm3. The excess energy over the best structure of this formula in the dataset comes out at 707 meV per atom.